Density functional theory data (GGA+U) for a relaxed NdV2AgO8 crystal.

## Properties
- Uncorrected energy: -82.5 eV per cell

Unit cell a=5.9206 b=5.9206 c=6.3138 alpha=90.00 beta=90.00 gamma=120.00
Fractional coordinates of all 12 atoms:
O 0.8332 0.6664 0.2607
O 0.3333 0.6667 0.3934
O 0.1668 0.3336 0.7393
O 0.3336 0.1668 0.2607
O 0.6667 0.3333 0.6066
O 0.1668 0.8332 0.7393
O 0.6664 0.8332 0.7393
O 0.8332 0.1668 0.2607
V 0.3333 0.6667 0.6527
V 0.6667 0.3333 0.3473
Ag 0.0000 0.0000 0.5000
Nd 0.0000 0.0000 0.0000